VASP calculation (GGA-PBE) on crystalline CrSbTe2 at its relaxed geometry.

Output
crystal system: orthorhombic
distance to the lowest polymorph of the same formula: 0.154 eV per atom

Cell: 6.117 8.538 4.161 Å, 90.00 90.00 90.00°
Space group Cmmm (No. 65)
Asymmetric unit:
Cr 0.000 0.000 0.000 (multiplicity 2)
Sb 0.000 0.500 0.000 (multiplicity 2)
Te 0.000 0.225 0.500 (multiplicity 4)